1.
VASP calculation (PBE) on crystalline AgRu at its relaxed geometry.

POSCAR file:
```
AgRu
1.0
2.744 -0.002 0.000
-1.299 2.417 0.000
0.000 0.000 9.732
Ag Ru
2 2
Cartesian
0.000 0.000 0.062 Ag
0.722 1.208 7.237 Ag
0.000 0.000 4.713 Ru
0.722 1.208 2.586 Ru
```

Calculated values
symmetry: Cmme (67)
energy of formation: 0.44 eV per atom
crystal system: orthorhombic
magnetization: 0.916 μB/cell

2.
VASP calculation (PBE) on crystalline AgRu2 at its relaxed geometry.

POSCAR file:
```
AgRu2
1.0
-4.788 1.591 -1.091
0.999 -2.259 4.533
1.708 7.421 3.322
Ru Ag
8 4
Cartesian
0.000 0.000 0.000 Ru
0.854 3.710 1.661 Ru
0.795 5.055 3.882 Ru
1.271 3.977 6.044 Ru
-1.068 2.016 1.240 Ru
-1.013 4.736 5.524 Ru
-3.352 2.775 0.720 Ru
-2.876 1.697 2.882 Ru
-0.808 -0.445 2.896 Ag
-0.198 2.203 4.082 Ag
-1.883 4.549 2.682 Ag
-1.273 7.197 3.868 Ag
```

Calculated values
excess energy over the best structure of this formula in the dataset: 0.299 eV per atom
symmetry: P6_3/mmc (194)
energy of formation: 0.59 eV per atom
crystal system: hexagonal
magnetization: 2.497 μB/cell

3.
VASP calculation (PBE) on crystalline AgRu at its relaxed geometry.

POSCAR file:
```
AgRu
1.0
-2.854 1.916 4.310
0.959 -2.092 5.009
1.733 2.755 -4.449
Ag Ru
2 2
Cartesian
-1.881 -0.175 9.251 Ag
0.859 0.286 2.677 Ag
-0.982 -0.091 4.829 Ru
-1.000 2.295 2.091 Ru
```

Calculated values
symmetry: Imma (74)
energy of formation: 0.61 eV per atom
crystal system: orthorhombic
magnetization: 0.000 μB/cell

4.
VASP calculation (PBE) on crystalline AgRu2 at its relaxed geometry.

POSCAR file:
```
AgRu2
1.0
1.938 -5.982 0.000
1.938 5.982 0.000
0.000 0.000 3.917
Ag Ru
2 4
Cartesian
1.938 -5.012 0.979 Ag
1.938 5.012 2.938 Ag
1.938 -1.184 0.979 Ru
1.938 1.184 2.938 Ru
1.938 3.014 0.979 Ru
1.938 -3.014 2.938 Ru
```

Calculated values
excess energy over the best structure of this formula in the dataset: 0.234 eV per atom
symmetry: Cmcm (63)
energy of formation: 0.53 eV per atom
crystal system: orthorhombic
magnetization: 0.002 μB/cell

5.
VASP calculation (PBE) on crystalline Ag3Ru at its relaxed geometry.

POSCAR file:
```
Ag3Ru
1.0
5.196 0.000 0.000
0.000 5.196 0.000
0.000 0.000 5.196
Ag Ru
6 2
Cartesian
0.000 1.299 2.598 Ag
0.000 3.897 2.598 Ag
1.299 2.598 0.000 Ag
2.598 0.000 1.299 Ag
2.598 0.000 3.897 Ag
3.897 2.598 0.000 Ag
0.000 0.000 0.000 Ru
2.598 2.598 2.598 Ru
```

Calculated values
symmetry: Pm-3n (223)
energy of formation: 0.66 eV per atom
crystal system: cubic
magnetization: 3.205 μB/cell

6.
VASP calculation (PBE) on crystalline AgRu at its relaxed geometry.

POSCAR file:
```
AgRu
1.0
-5.186 -1.386 0.227
-3.894 -3.591 -0.901
-0.589 -3.370 5.910
Ag Ru
3 3
Cartesian
-5.698 -3.949 1.191 Ag
-3.256 -2.801 1.743 Ag
-6.431 -5.560 3.499 Ag
-9.592 -8.272 5.179 Ru
-8.878 -6.820 3.158 Ru
-3.211 -4.593 5.298 Ru
```

Calculated values
symmetry: Cm (8)
energy of formation: 0.48 eV per atom
crystal system: monoclinic
magnetization: 0.001 μB/cell

7.
VASP calculation (PBE) on crystalline AgRu2 at its relaxed geometry.

POSCAR file:
```
AgRu2
1.0
5.553 0.000 0.000
0.000 3.917 0.000
0.000 0.000 8.399
Ru Ag
8 4
Cartesian
0.638 0.979 2.299 Ru
0.589 0.979 4.929 Ru
2.188 2.938 0.730 Ru
2.138 2.938 6.499 Ru
3.415 0.979 1.901 Ru
3.365 0.979 7.670 Ru
4.964 2.938 3.470 Ru
4.915 2.938 6.101 Ru
0.637 0.979 7.705 Ag
2.140 2.938 3.505 Ag
3.413 0.979 4.894 Ag
4.916 2.938 0.695 Ag
```

Calculated values
excess energy over the best structure of this formula in the dataset: 0.261 eV per atom
symmetry: Pnma (62)
energy of formation: 0.55 eV per atom
crystal system: orthorhombic
magnetization: 0.001 μB/cell

8.
VASP calculation (PBE) on crystalline AgRu at its relaxed geometry.

POSCAR file:
```
AgRu
1.0
2.692 0.000 0.000
0.000 2.692 0.000
0.000 0.000 4.426
Ag Ru
1 1
Cartesian
1.346 1.346 2.213 Ag
0.000 0.000 0.000 Ru
```

Calculated values
symmetry: P4/mmm (123)
energy of formation: 0.66 eV per atom
crystal system: tetragonal
magnetization: 1.400 μB/cell

9.
VASP calculation (PBE) on crystalline AgRu at its relaxed geometry.

POSCAR file:
```
AgRu
1.0
1.391 6.401 -0.015
-1.391 6.401 -0.015
0.000 1.375 5.436
Ag Ru
3 3
Cartesian
0.000 12.648 0.157 Ag
0.000 8.424 1.326 Ag
0.000 9.357 3.879 Ag
0.000 4.529 1.918 Ru
0.000 12.751 3.056 Ru
0.000 5.264 4.950 Ru
```

Calculated values
symmetry: Cm (8)
energy of formation: 0.45 eV per atom
crystal system: monoclinic
magnetization: 0.000 μB/cell

10.
VASP calculation (PBE) on crystalline Ag5Ru at its relaxed geometry.

POSCAR file:
```
Ag5Ru
1.0
2.187 -4.693 -2.254
4.326 -3.510 -0.925
-0.494 -4.788 5.056
Ag Ru
5 1
Cartesian
6.016 -12.956 1.852 Ag
3.849 -6.345 -0.545 Ag
2.026 -4.322 0.587 Ag
5.821 -10.681 0.141 Ag
4.037 -8.693 1.241 Ag
1.326 -6.799 3.918 Ru
```

Calculated values
excess energy over the best structure of this formula in the dataset: 0.000 eV per atom
symmetry: Cm (8)
energy of formation: 0.29 eV per atom
crystal system: monoclinic
magnetization: 0.000 μB/cell

11.
VASP calculation (PBE) on crystalline AgRu2 at its relaxed geometry.

POSCAR file:
```
AgRu2
1.0
-1.795 1.795 8.039
1.795 -1.795 8.039
1.795 1.795 -8.039
Ag Ru
2 4
Cartesian
0.000 1.795 4.019 Ag
0.000 0.000 0.000 Ag
0.000 0.000 6.803 Ru
0.000 0.000 9.275 Ru
1.795 0.000 2.784 Ru
1.795 0.000 5.255 Ru
```

Calculated values
excess energy over the best structure of this formula in the dataset: 0.623 eV per atom
symmetry: I4_1/amd (141)
energy of formation: 0.92 eV per atom
crystal system: tetragonal
magnetization: 0.000 μB/cell

12.
VASP calculation (PBE) on crystalline AgRu5 at its relaxed geometry.

POSCAR file:
```
AgRu5
1.0
0.000 3.587 3.587
3.587 0.000 3.587
3.587 3.587 0.000
Ag Ru
1 5
Cartesian
0.000 0.000 0.000 Ag
2.692 4.482 4.482 Ru
5.381 5.381 5.381 Ru
4.482 2.692 4.482 Ru
2.692 2.692 2.692 Ru
4.482 4.482 2.692 Ru
```

Calculated values
excess energy over the best structure of this formula in the dataset: 0.417 eV per atom
symmetry: F-43m (216)
energy of formation: 0.69 eV per atom
crystal system: cubic
magnetization: 0.000 μB/cell